[1]
A plane-wave DFT calculation with meta-GGA SCAN was carried out for MnFeH4O2F5 at its PBEsol-relaxed geometry.

Cell: 7.549 10.945 6.288 Å, 90.00 90.00 90.00°
Space group Imma (No. 74)
One atom of each set of equivalent atoms:
Mn (0.000, 0.000, 0.000) [4 per cell]
Fe (0.250, 0.250, 0.250) [4 per cell]
H (0.107, 0.086, 0.616) [16 per cell]
O (0.000, 0.061, 0.698) [8 per cell]
F (0.000, 0.250, 0.321) [4 per cell]
F (0.215, 0.121, 0.034) [16 per cell]

Computed properties:
Total magnetization   0.733 μB per atom
Raw total energy   -8.114 eV per atom

[2]
A plane-wave DFT calculation with meta-GGA SCAN was carried out for NaFeH8N2F6 at its PBEsol-relaxed geometry.

Cell: 8.357 8.357 8.357 Å, 90.00 90.00 90.00°
Space group Fm-3m (No. 225)
One atom of each set of equivalent atoms:
Na (0.000, 0.000, 0.000) [4 per cell]
Fe (0.000, 0.000, 0.500) [4 per cell]
H (0.179, 0.179, 0.321) [32 per cell]
N (0.250, 0.250, 0.250) [8 per cell]
F (0.000, 0.000, 0.278) [24 per cell]

Computed properties:
Total magnetization   0.056 μB per atom
Raw total energy   -6.465 eV per atom

[3]
A plane-wave DFT calculation with meta-GGA SCAN was carried out for HfFe3F at its PBEsol-relaxed geometry.

Cell: 4.018 4.018 4.018 Å, 90.00 90.00 90.00°
Space group Pm-3m (No. 221)
One atom of each set of equivalent atoms:
Hf (0.000, 0.000, 0.000) [1 per cell]
Fe (0.000, 0.500, 0.500) [3 per cell]
F (0.500, 0.500, 0.500) [1 per cell]

Computed properties:
Total magnetization   1.335 μB per atom
Raw total energy   -24.037 eV per atom

[4]
A plane-wave DFT calculation with meta-GGA SCAN was carried out for HfFeOF2 at its PBEsol-relaxed geometry.

Cell: 4.192 4.192 4.007 Å, 90.00 90.00 90.00°
Space group P4/mmm (No. 123)
One atom of each set of equivalent atoms:
Hf (0.000, 0.000, 0.000) [1 per cell]
Fe (0.500, 0.500, 0.500) [1 per cell]
O (0.000, 0.000, 0.500) [1 per cell]
F (0.000, 0.500, 0.000) [2 per cell]

Computed properties:
Total magnetization   0.773 μB per atom
Raw total energy   -20.897 eV per atom

[5]
A plane-wave DFT calculation with meta-GGA SCAN was carried out for FeHgN2F at its PBEsol-relaxed geometry.

Cell: 4.075 4.075 4.434 Å, 90.00 90.00 90.00°
Space group P4/mmm (No. 123)
One atom of each set of equivalent atoms:
Fe (0.000, 0.000, 0.000) [1 per cell]
Hg (0.500, 0.500, 0.500) [1 per cell]
N (0.000, 0.500, 0.500) [2 per cell]
F (0.500, 0.500, 0.000) [1 per cell]

Computed properties:
Total magnetization   1.145 μB per atom
Raw total energy   -20.132 eV per atom

[6]
A plane-wave DFT calculation with meta-GGA SCAN was carried out for Fe2HgSF at its PBEsol-relaxed geometry.

Cell: 4.974 4.974 4.718 Å, 90.00 90.00 90.00°
Space group P4/mmm (No. 123)
One atom of each set of equivalent atoms:
Fe (0.000, 0.500, 0.000) [2 per cell]
Hg (0.000, 0.000, 0.000) [1 per cell]
S (0.000, 0.000, 0.500) [1 per cell]
F (0.500, 0.500, 0.500) [1 per cell]

Computed properties:
Total magnetization   1.440 μB per atom
Raw total energy   -22.630 eV per atom

[7]
A plane-wave DFT calculation with meta-GGA SCAN was carried out for FeHgSe2F at its PBEsol-relaxed geometry.

Cell: 4.355 4.355 5.115 Å, 90.00 90.00 90.00°
Space group P4/mmm (No. 123)
One atom of each set of equivalent atoms:
Fe (0.000, 0.000, 0.000) [1 per cell]
Hg (0.000, 0.000, 0.500) [1 per cell]
Se (0.000, 0.500, 0.000) [2 per cell]
F (0.500, 0.500, 0.500) [1 per cell]

Computed properties:
Total magnetization   0.001 μB per atom
Raw total energy   -25.978 eV per atom

[8]
A plane-wave DFT calculation with meta-GGA SCAN was carried out for Fe2SiHgF at its PBEsol-relaxed geometry.

Cell: 4.321 4.321 4.921 Å, 90.00 90.00 90.00°
Space group P4/mmm (No. 123)
One atom of each set of equivalent atoms:
Fe (0.000, 0.500, 0.000) [2 per cell]
Si (0.000, 0.000, 0.000) [1 per cell]
Hg (0.000, 0.000, 0.500) [1 per cell]
F (0.500, 0.500, 0.500) [1 per cell]

Computed properties:
Total magnetization   1.282 μB per atom
Raw total energy   -23.139 eV per atom

[9]
A plane-wave DFT calculation with meta-GGA SCAN was carried out for FeIN2F at its PBEsol-relaxed geometry.

Cell: 3.934 3.934 4.720 Å, 90.00 90.00 90.00°
Space group P4/mmm (No. 123)
One atom of each set of equivalent atoms:
Fe (0.000, 0.000, 0.000) [1 per cell]
I (0.500, 0.500, 0.000) [1 per cell]
N (0.000, 0.500, 0.500) [2 per cell]
F (0.500, 0.500, 0.500) [1 per cell]

Computed properties:
Total magnetization   1.382 μB per atom
Raw total energy   -13.203 eV per atom

[10]
A plane-wave DFT calculation with meta-GGA SCAN was carried out for FeSbI2F at its PBEsol-relaxed geometry.

Cell: 5.650 5.650 4.159 Å, 90.00 90.00 90.00°
Space group P4/mmm (No. 123)
One atom of each set of equivalent atoms:
Fe (0.000, 0.000, 0.000) [1 per cell]
Sb (0.500, 0.500, 0.000) [1 per cell]
I (0.000, 0.500, 0.500) [2 per cell]
F (0.500, 0.500, 0.500) [1 per cell]

Computed properties:
Total magnetization   0.681 μB per atom
Raw total energy   -26.262 eV per atom

[11]
A plane-wave DFT calculation with meta-GGA SCAN was carried out for InFe3F at its PBEsol-relaxed geometry.

Cell: 4.872 4.872 4.872 Å, 90.00 90.00 90.00°
Space group Pm-3m (No. 221)
One atom of each set of equivalent atoms:
In (0.000, 0.000, 0.000) [1 per cell]
Fe (0.000, 0.000, 0.500) [3 per cell]
F (0.500, 0.500, 0.500) [1 per cell]

Computed properties:
Total magnetization   2.188 μB per atom
Raw total energy   -17.088 eV per atom

[12]
A plane-wave DFT calculation with meta-GGA SCAN was carried out for InFeF2 at its PBEsol-relaxed geometry.

Cell: 6.019 6.019 6.019 Å, 90.00 90.00 90.00°
Space group Fm-3m (No. 225)
One atom of each set of equivalent atoms:
In (0.000, 0.000, 0.000) [4 per cell]
Fe (0.000, 0.000, 0.500) [4 per cell]
F (0.250, 0.250, 0.250) [8 per cell]

Computed properties:
Total magnetization   0.774 μB per atom
Raw total energy   -15.679 eV per atom